Record 1
Entry from the Alexandria database: an optimized crystal structure of FeTcCl2 (PBE). Values from VASP.

Quantum ESPRESSO input file:
```
&SYSTEM
  ibrav = 0, nat = 4, ntyp = 3
/
ATOMIC_SPECIES
Fe 55.84 Fe.upf
Tc 98.00 Tc.upf
Cl 35.45 Cl.upf
ATOMIC_POSITIONS crystal
Fe 0.0000 0.0000 0.0000
Tc 0.0000 0.0000 0.5000
Cl 0.5000 0.5000 0.2360
Cl 0.5000 0.5000 0.7640
CELL_PARAMETERS angstrom
3.1177 0.0000 0.0000
0.0000 3.1177 0.0000
0.0000 0.0000 6.4651
```

ρ in g/cm3: 5.94
Raw formation energy in eV per atom: 0.6858

***

Record 2
Entry from the Alexandria database: an optimized crystal structure of Sr2TlSnH (PBE). Values from VASP.

Quantum ESPRESSO input file:
```
&SYSTEM
  ibrav = 0, nat = 5, ntyp = 4
/
ATOMIC_SPECIES
Sr 87.62 Sr.upf
Tl 204.38 Tl.upf
Sn 118.71 Sn.upf
H 1.01 H.upf
ATOMIC_POSITIONS crystal
Sr 0.0000 0.5000 0.0000
Sr 0.5000 0.0000 0.0000
Tl 0.0000 0.0000 0.5000
Sn 0.5000 0.5000 0.5000
H 0.0000 0.0000 0.0000
CELL_PARAMETERS angstrom
5.2384 0.0000 0.0000
0.0000 5.2384 0.0000
0.0000 0.0000 4.9003
```

Final energy in eV/cell: -15.10
ρ in g/cm3: 6.17

***

Record 3
Entry from the Alexandria database: an optimized crystal structure of AsIrClO (PBE). Values from VASP.

Quantum ESPRESSO input file:
```
&SYSTEM
  ibrav = 0, nat = 4, ntyp = 4
/
ATOMIC_SPECIES
As 74.92 As.upf
Ir 192.22 Ir.upf
Cl 35.45 Cl.upf
O 16.00 O.upf
ATOMIC_POSITIONS crystal
As 0.0000 0.0000 0.0000
Ir 0.4436 0.2593 0.7687
Cl 0.6059 0.8393 0.5370
O 0.1700 0.5628 0.9935
CELL_PARAMETERS angstrom
3.6200 0.0000 0.0000
1.2642 3.9980 0.0000
0.4426 0.9586 5.8040
```

ρ in g/cm3: 6.30
Raw formation energy in eV per atom: -0.3081

***

Record 4
Entry from the Alexandria database: an optimized crystal structure of Sr2InNiHg (PBE). Values from VASP.

Quantum ESPRESSO input file:
```
&SYSTEM
  ibrav = 0, nat = 5, ntyp = 4
/
ATOMIC_SPECIES
Sr 87.62 Sr.upf
In 114.82 In.upf
Ni 58.69 Ni.upf
Hg 200.59 Hg.upf
ATOMIC_POSITIONS crystal
Sr 0.0000 0.5000 0.0000
Sr 0.5000 0.0000 0.0000
In 0.0000 0.0000 0.5000
Ni 0.0000 0.0000 0.0000
Hg 0.5000 0.5000 0.5000
CELL_PARAMETERS angstrom
5.7267 0.0000 0.0000
0.0000 5.7267 0.0000
0.0000 0.0000 4.9111
```

Final energy in eV/cell: -13.45
ρ in g/cm3: 5.66

***

Record 5
Entry from the Alexandria database: an optimized crystal structure of NbAl2 (PBE). Values from VASP.

Quantum ESPRESSO input file:
```
&SYSTEM
  ibrav = 0, nat = 12, ntyp = 2
/
ATOMIC_SPECIES
Nb 92.91 Nb.upf
Al 26.98 Al.upf
ATOMIC_POSITIONS crystal
Nb 0.0000 0.0000 0.0000
Nb 0.0000 0.5000 0.5000
Nb 0.5000 0.0000 0.5000
Nb 0.5000 0.5000 0.0000
Al 0.0000 0.0000 0.3284
Al 0.0000 0.0000 0.6716
Al 0.0000 0.5000 0.1716
Al 0.0000 0.5000 0.8284
Al 0.5000 0.0000 0.1716
Al 0.5000 0.0000 0.8284
Al 0.5000 0.5000 0.3284
Al 0.5000 0.5000 0.6716
CELL_PARAMETERS angstrom
4.2115 0.0000 0.0000
0.0000 4.7141 0.0000
0.0000 0.0000 10.0566
```

Final energy in eV/cell: -72.05
ρ in g/cm3: 4.89

***

Record 6
Entry from the Alexandria database: an optimized crystal structure of In2Ni4N (PBE). Values from VASP.

Quantum ESPRESSO input file:
```
&SYSTEM
  ibrav = 0, nat = 14, ntyp = 3
/
ATOMIC_SPECIES
In 114.82 In.upf
Ni 58.69 Ni.upf
N 14.01 N.upf
ATOMIC_POSITIONS crystal
In 0.0000 0.0000 0.1682
In 0.0000 0.0000 0.8318
In 0.5000 0.5000 0.3318
In 0.5000 0.5000 0.6682
Ni 0.0000 0.0000 0.3641
Ni 0.0000 0.0000 0.6359
Ni 0.0000 0.5000 0.0000
Ni 0.0000 0.5000 0.5000
Ni 0.5000 0.0000 0.0000
Ni 0.5000 0.0000 0.5000
Ni 0.5000 0.5000 0.1359
Ni 0.5000 0.5000 0.8641
N 0.0000 0.0000 0.5000
N 0.5000 0.5000 0.0000
CELL_PARAMETERS angstrom
3.7767 0.0000 0.0000
0.0000 3.7767 0.0000
0.0000 0.0000 13.5685
```

ρ in g/cm3: 8.21
Raw formation energy in eV per atom: -0.0356

***

Record 7
Entry from the Alexandria database: an optimized crystal structure of Ti2HgRu2 (PBE). Values from VASP.

Quantum ESPRESSO input file:
```
&SYSTEM
  ibrav = 0, nat = 10, ntyp = 3
/
ATOMIC_SPECIES
Ti 47.87 Ti.upf
Hg 200.59 Hg.upf
Ru 101.07 Ru.upf
ATOMIC_POSITIONS crystal
Ti 0.1514 0.3486 0.0000
Ti 0.3486 0.8486 0.0000
Ti 0.6514 0.1514 0.0000
Ti 0.8486 0.6514 0.0000
Hg 0.0000 0.0000 0.5000
Hg 0.5000 0.5000 0.5000
Ru 0.1414 0.6414 0.5000
Ru 0.3586 0.1414 0.5000
Ru 0.6414 0.8586 0.5000
Ru 0.8586 0.3586 0.5000
CELL_PARAMETERS angstrom
7.3640 0.0000 0.0000
0.0000 7.3640 0.0000
0.0000 0.0000 3.0318
```

Final energy in eV/cell: -71.99
ρ in g/cm3: 10.07

***

Record 8
Entry from the Alexandria database: an optimized crystal structure of LiIrF2 (PBE). Values from VASP.

Quantum ESPRESSO input file:
```
&SYSTEM
  ibrav = 0, nat = 12, ntyp = 3
/
ATOMIC_SPECIES
Li 6.94 Li.upf
Ir 192.22 Ir.upf
F 19.00 F.upf
ATOMIC_POSITIONS crystal
Li 0.0000 0.0000 0.0000
Li 0.3333 0.6667 0.6667
Li 0.6667 0.3333 0.3333
Ir 0.0000 0.0000 0.5000
Ir 0.3333 0.6667 0.1667
Ir 0.6667 0.3333 0.8333
F 0.0000 0.0000 0.0745
F 0.0000 0.0000 0.9255
F 0.3333 0.6667 0.5922
F 0.3333 0.6667 0.7412
F 0.6667 0.3333 0.2588
F 0.6667 0.3333 0.4078
CELL_PARAMETERS angstrom
2.7541 0.0000 0.0000
-1.3771 2.3851 0.0000
0.0000 0.0000 22.5427
```

ρ in g/cm3: 7.98
Raw formation energy in eV per atom: -0.8686

***

Record 9
Entry from the Alexandria database: an optimized crystal structure of EuAlHg (PBE). Values from VASP.

Quantum ESPRESSO input file:
```
&SYSTEM
  ibrav = 0, nat = 6, ntyp = 3
/
ATOMIC_SPECIES
Eu 151.96 Eu.upf
Al 26.98 Al.upf
Hg 200.59 Hg.upf
ATOMIC_POSITIONS crystal
Eu 0.0000 0.0000 0.0000
Eu 0.5000 0.5000 0.5000
Al 0.0000 0.0000 0.6877
Al 0.5000 0.5000 0.1877
Hg 0.0000 0.0000 0.3098
Hg 0.5000 0.5000 0.8098
CELL_PARAMETERS angstrom
3.6466 0.0000 0.0000
0.0000 3.6466 0.0000
0.0000 0.0000 11.4076
```

Final energy in eV/cell: -30.05
ρ in g/cm3: 8.31

***

Record 10
Entry from the Alexandria database: an optimized crystal structure of AcLaSn3 (PBE). Values from VASP.

Quantum ESPRESSO input file:
```
&SYSTEM
  ibrav = 0, nat = 10, ntyp = 3
/
ATOMIC_SPECIES
Ac 227.00 Ac.upf
La 138.91 La.upf
Sn 118.71 Sn.upf
ATOMIC_POSITIONS crystal
Ac 0.0754 0.9246 0.7500
Ac 0.9246 0.0754 0.2500
La 0.2046 0.7954 0.2500
La 0.7954 0.2046 0.7500
Sn 0.3113 0.6887 0.2500
Sn 0.3742 0.6258 0.7500
Sn 0.4705 0.5295 0.7500
Sn 0.5295 0.4705 0.2500
Sn 0.6258 0.3742 0.2500
Sn 0.6887 0.3113 0.7500
CELL_PARAMETERS angstrom
2.3455 -15.4306 0.0000
2.3455 15.4306 0.0000
0.0000 0.0000 4.5470
```

Final energy in eV/cell: -48.39
ρ in g/cm3: 7.29

***

Record 11
Entry from the Alexandria database: an optimized crystal structure of H9Pd2Pt3 (PBE). Values from VASP.

Quantum ESPRESSO input file:
```
&SYSTEM
  ibrav = 0, nat = 28, ntyp = 3
/
ATOMIC_SPECIES
H 1.01 H.upf
Pd 106.42 Pd.upf
Pt 195.08 Pt.upf
ATOMIC_POSITIONS crystal
H 0.0000 0.2247 0.2500
H 0.0000 0.3449 0.5753
H 0.0000 0.3449 0.9247
H 0.0000 0.6551 0.0753
H 0.0000 0.6551 0.4247
H 0.0000 0.7753 0.7500
H 0.2247 0.0000 0.2500
H 0.2247 0.2247 0.7500
H 0.3449 0.0000 0.5753
H 0.3449 0.0000 0.9247
H 0.3449 0.3449 0.0753
H 0.3449 0.3449 0.4247
H 0.6551 0.0000 0.0753
H 0.6551 0.0000 0.4247
H 0.6551 0.6551 0.5753
H 0.6551 0.6551 0.9247
H 0.7753 0.0000 0.7500
H 0.7753 0.7753 0.2500
Pd 0.3333 0.6667 0.0000
Pd 0.3333 0.6667 0.5000
Pd 0.6667 0.3333 0.0000
Pd 0.6667 0.3333 0.5000
Pt 0.0000 0.3776 0.7500
Pt 0.0000 0.6224 0.2500
Pt 0.3776 0.0000 0.7500
Pt 0.3776 0.3776 0.2500
Pt 0.6224 0.0000 0.2500
Pt 0.6224 0.6224 0.7500
CELL_PARAMETERS angstrom
5.3413 0.0000 0.0000
-2.6706 4.6257 0.0000
0.0000 0.0000 9.9342
```

Final energy in eV/cell: -117.39
ρ in g/cm3: 10.92

***

Record 12
Entry from the Alexandria database: an optimized crystal structure of NdMg4Ge2 (PBE). Values from VASP.

Quantum ESPRESSO input file:
```
&SYSTEM
  ibrav = 0, nat = 14, ntyp = 3
/
ATOMIC_SPECIES
Nd 144.24 Nd.upf
Mg 24.30 Mg.upf
Ge 72.64 Ge.upf
ATOMIC_POSITIONS crystal
Nd 0.0000 0.0000 0.0000
Nd 0.5000 0.5000 0.5000
Mg 0.0937 0.3405 0.5000
Mg 0.1595 0.5937 0.0000
Mg 0.3405 0.0937 0.5000
Mg 0.4063 0.8405 0.0000
Mg 0.5937 0.1595 0.0000
Mg 0.6595 0.9063 0.5000
Mg 0.8405 0.4063 0.0000
Mg 0.9063 0.6595 0.5000
Ge 0.1995 0.8005 0.5000
Ge 0.3005 0.3005 0.0000
Ge 0.6995 0.6995 0.0000
Ge 0.8005 0.1995 0.5000
CELL_PARAMETERS angstrom
8.4930 0.0000 0.0000
0.0000 8.4930 0.0000
0.0000 0.0000 4.2834
```

Final energy in eV/cell: -45.94
ρ in g/cm3: 4.16